Density functional theory data (PBE) for a geometry-optimized CsTe2SeN structure.

```
CsTe2SeN
1.0
6.504 0.000 0.000
0.000 6.504 0.000
0.000 0.000 4.439
Cs Te Se N
1 2 1 1
direct
0.000 0.000 0.000
0.000 0.500 0.000
0.500 0.000 0.000
0.500 0.500 0.500
0.000 0.000 0.500
```

volume = 187.8 Å³ per cell
energy relative to the lowest polymorph listed for this composition = 1.398 eV per atom
formation energy (no corrections) = 1.878 eV/atom
M_tot = 0.3778 μB/atom